# 1
The following is a DFT calculation (PBE-GGA) of a relaxed PrEr3S crystal.

Lattice parameters (Å, degrees): 5.289 5.289 5.289 90.00 90.00 90.00
Atoms (fractional coordinates):
1 Pr 0.500 0.500 0.500
2 Er 0.500 0.000 0.000
3 Er 0.000 0.000 0.500
4 Er 0.000 0.500 0.000
5 S 0.000 0.000 0.000

- SG = No. 221

=====

# 2
The following is a DFT calculation (PBE-GGA) of a relaxed Pr4Er3S8 crystal.

Lattice parameters (Å, degrees): 7.999 7.989 7.989 89.96 120.09 120.09
Atoms (fractional coordinates):
1 Pr 0.000 0.000 0.500
2 Pr 0.500 0.000 0.000
3 Pr 0.000 0.000 0.000
4 Pr 0.000 0.500 0.000
5 S 0.489 0.737 0.737
6 S 0.015 0.262 0.262
7 S 0.000 0.745 0.255
8 S 0.500 0.743 0.257
9 S 0.000 0.255 0.745
10 S 0.511 0.263 0.263
11 S 0.985 0.738 0.738
12 S 0.500 0.257 0.743
13 Er 0.500 0.500 0.000
14 Er 0.500 0.000 0.500
15 Er 0.500 0.500 0.500

- distance to the lowest polymorph of the same formula (meV per atom) = 0
- SG = No. 12

=====

# 3
The following is a DFT calculation (PBE-GGA) of a relaxed Pr5ErS6 crystal.

Lattice parameters (Å, degrees): 7.041 7.043 7.051 60.04 80.34 70.37
Atoms (fractional coordinates):
1 S 0.760 0.080 0.320
2 S 0.755 0.762 0.000
3 S 0.245 0.238 0.000
4 S 0.240 0.920 0.680
5 S 0.760 0.400 0.680
6 S 0.240 0.600 0.320
7 Pr 0.500 0.828 0.345
8 Pr 0.500 0.500 0.000
9 Pr 0.000 0.668 0.665
10 Pr 0.000 0.332 0.335
11 Pr 0.500 0.172 0.655
12 Er 0.000 0.000 0.000

- SG = No. 12

=====

# 4
The following is a DFT calculation (PBE-GGA) of a relaxed PrEr2S3 crystal.

Lattice parameters (Å, degrees): 3.919 5.600 6.866 114.07 106.58 90.00
Atoms (fractional coordinates):
1 Pr 0.500 0.500 0.500
2 Er 0.160 0.160 0.820
3 Er 0.840 0.840 0.180
4 S 0.500 0.000 0.500
5 S 0.180 0.680 0.860
6 S 0.820 0.320 0.140

- SG = No. 71

=====

# 5
The following is a DFT calculation (PBE-GGA) of a relaxed Pr3ErS4 crystal.

Lattice parameters (Å, degrees): 6.992 7.073 8.042 90.00 90.00 109.30
Atoms (fractional coordinates):
1 Pr 0.750 0.500 0.127
2 Pr 0.250 0.000 0.624
3 Pr 0.750 0.000 0.376
4 Pr 0.250 0.500 0.873
5 Pr 0.750 0.500 0.622
6 Pr 0.250 0.500 0.378
7 S 0.001 0.234 0.117
8 S 0.491 0.241 0.366
9 S 0.991 0.241 0.634
10 S 0.501 0.234 0.883
11 S 0.509 0.759 0.634
12 S 0.009 0.759 0.366
13 S 0.999 0.766 0.883
14 S 0.499 0.766 0.117
15 Er 0.250 0.000 0.126
16 Er 0.750 0.000 0.874

- distance to the lowest polymorph of the same formula (meV per atom) = 0
- SG = No. 13

=====

# 6
The following is a DFT calculation (PBE-GGA) of a relaxed Pr4Er11S22 crystal.

Lattice parameters (Å, degrees): 3.948 11.352 19.672 91.67 95.76 90.00
Atoms (fractional coordinates):
1 Pr 0.895 0.988 0.790
2 Pr 0.368 0.350 0.735
3 Pr 0.105 0.012 0.210
4 Pr 0.632 0.650 0.265
5 S 0.169 0.151 0.338
6 S 0.547 0.970 0.094
7 S 0.350 0.093 0.700
8 S 0.913 0.245 0.825
9 S 0.650 0.907 0.300
10 S 0.255 0.120 0.510
11 S 0.008 0.241 0.016
12 S 0.557 0.509 0.115
13 S 0.453 0.030 0.906
14 S 0.811 0.309 0.623
15 S 0.865 0.549 0.729
16 S 0.720 0.409 0.441
17 S 0.280 0.591 0.559
18 S 0.992 0.759 0.984
19 S 0.831 0.849 0.662
20 S 0.443 0.491 0.885
21 S 0.135 0.451 0.271
22 S 0.189 0.691 0.377
23 S 0.745 0.880 0.490
24 S 0.087 0.755 0.175
25 S 0.593 0.212 0.186
26 S 0.407 0.788 0.814
27 Er 0.658 0.301 0.316
28 Er 0.202 0.942 0.405
29 Er 0.462 0.270 0.923
30 Er 0.000 0.000 0.000
31 Er 0.930 0.640 0.859
32 Er 0.538 0.730 0.077
33 Er 0.264 0.352 0.529
34 Er 0.736 0.648 0.471
35 Er 0.798 0.058 0.595
36 Er 0.342 0.699 0.684
37 Er 0.070 0.360 0.141

- SG = No. 12

=====

In eV/atom, the formation energy (no corrections) values for the records above are, in order, -0.64; -1.99; -2.01; -1.96; -2.00; -2.10.